{"formula": "CsRbHg", "functional": "PBE", "state": "relaxed", "lattice_angstrom": [[4.734, 0.000, 0.000], [0.000, 4.734, 0.000], [0.000, 0.000, 16.539]], "species": ["Cs", "Cs", "Rb", "Rb", "Hg", "Hg"], "frac_coords": [[0.000, 0.000, 0.000], [0.500, 0.500, 0.500], [0.000, 0.000, 0.263], [0.500, 0.500, 0.763], [0.000, 0.000, 0.637], [0.500, 0.500, 0.137]], "final_energy_ev_per_cell": -5.1, "spacegroup": "I4mm (107)", "formation_energy_ev_per_atom": -0.140, "polymorph_energy_mev_per_atom": 3}